Compound: AlAu2Br
Source: Alexandria
Functional: PBE-GGA
Structure: optimized geometry

Properties
DOS at the Fermi energy = 12.2 states/eV/cell
DFT total energy = -42.319 eV per cell
energy relative to the elements, uncorrected = 0.35 eV/atom
energy above the lowest structure with this stoichiometry = 602 meV per atom
calculated volume = 20.620 Å³/atom

a b c (Å): 6.9099 6.9099 6.9099
angles (deg): 90.00 90.00 90.00
Last column: nearest neighbours and their distance in Å.
Sites, in units of the cell vectors:
Al (0.0000, 0.0000, 0.0000)  8 Au 2.99
Al (0.0000, 0.5000, 0.5000)  8 Au 2.99
Al (0.5000, 0.0000, 0.5000)  8 Au 2.99
Al (0.5000, 0.5000, 0.0000)  8 Au 2.99
Au (0.2500, 0.2500, 0.2500)  4 Br 2.99, 4 Al 2.99
Au (0.2500, 0.2500, 0.7500)  4 Br 2.99, 4 Al 2.99
Au (0.2500, 0.7500, 0.2500)  4 Br 2.99, 4 Al 2.99
Au (0.2500, 0.7500, 0.7500)  4 Br 2.99, 4 Al 2.99
Au (0.7500, 0.2500, 0.2500)  4 Br 2.99, 4 Al 2.99
Au (0.7500, 0.2500, 0.7500)  4 Br 2.99, 4 Al 2.99
Au (0.7500, 0.7500, 0.2500)  4 Br 2.99, 4 Al 2.99
Au (0.7500, 0.7500, 0.7500)  4 Br 2.99, 4 Al 2.99
Br (0.0000, 0.0000, 0.5000)  8 Au 2.99
Br (0.0000, 0.5000, 0.0000)  8 Au 2.99
Br (0.5000, 0.0000, 0.0000)  8 Au 2.99
Br (0.5000, 0.5000, 0.5000)  8 Au 2.99